An optimized crystal structure of MnZn3O, computed with GGA+U.

Output
Relative energy among the computed polymorphs ... 933.6 meV per atom

a = 4.9794 Å, b = 4.9794 Å, c = 4.9794 Å
α = 90.00°, β = 90.00°, γ = 90.00°
Closest atoms and distances in Å follow each position.
Fractional positions:
Mn  0.0000  0.0000  0.0000  6 Zn 2.49
Zn  0.0000  0.0000  0.5000  2 Mn 2.49
Zn  0.0000  0.5000  0.0000  2 Mn 2.49
Zn  0.5000  0.0000  0.0000  2 Mn 2.49
O  0.5000  0.5000  0.5000  12 Zn 3.52